Crystalline K5In2Au5 at its relaxed geometry, computed with PBE.

Cell and atoms, written as CIF:
```
data_K5In2Au5
_chemical_formula_sum 'K10 In4 Au10'
_space_group_name_H-M_alt 'C 1 2/m 1'
_space_group_IT_number 12
_space_group_name_Hall '-C 2y'
_cell_length_a 16.925
_cell_length_b 4.786
_cell_length_c 12.728
_cell_angle_alpha 90.00
_cell_angle_beta 131.58
_cell_angle_gamma 90.00
loop_
_atom_site_label
_atom_site_type_symbol
_atom_site_fract_x
_atom_site_fract_y
_atom_site_fract_z
K1 K 0.000 0.000 0.000
K2 K 0.050 0.000 0.379
K3 K 0.213 0.000 0.824
In1 In 0.178 0.500 0.342
Au1 Au 0.000 0.500 0.500
Au2 Au 0.049 0.500 0.853
Au3 Au 0.213 0.500 0.609
```

Calculated values
E = -60.68 eV for the cell shown
ρ = 6072 kg/m3
ΔE_f = -24.0 kJ/mol of atoms

***

Crystalline Pm4Ga5Pt6 at its relaxed geometry, computed with PBE.

Cell and atoms, written as CIF:
```
data_Pm4Ga5Pt6
_chemical_formula_sum 'Pm16 Ga20 Pt24'
_space_group_name_H-M_alt 'C m c 21'
_space_group_IT_number 36
_space_group_name_Hall 'C 2c -2'
_cell_length_a 4.117
_cell_length_b 20.124
_cell_length_c 15.326
_cell_angle_alpha 90.00
_cell_angle_beta 90.00
_cell_angle_gamma 90.00
loop_
_atom_site_label
_atom_site_type_symbol
_atom_site_fract_x
_atom_site_fract_y
_atom_site_fract_z
Pm1 Pm 0.000 0.011 0.000
Pm2 Pm 0.000 0.038 0.264
Pm3 Pm 0.000 0.160 0.788
Pm4 Pm 0.000 0.189 0.431
Ga1 Ga 0.000 0.152 0.118
Ga2 Ga 0.000 0.306 0.101
Ga3 Ga 0.000 0.339 0.766
Ga4 Ga 0.000 0.362 0.465
Ga5 Ga 0.000 0.448 0.161
Pt1 Pt 0.000 0.114 0.601
Pt2 Pt 0.000 0.212 0.978
Pt3 Pt 0.000 0.233 0.241
Pt4 Pt 0.000 0.420 0.901
Pt5 Pt 0.000 0.422 0.621
Pt6 Pt 0.000 0.444 0.338
```

Calculated values
E = -337.77 eV for the cell shown
ρ = 10980 kg/m3
ΔE_f = -90.4 kJ/mol of atoms

***

Crystalline Cs2Te2S at its relaxed geometry, computed with PBE.

Cell and atoms, written as CIF:
```
data_Cs2Te2S
_chemical_formula_sum 'Cs4 Te4 S2'
_space_group_name_H-M_alt 'I 4/m m m'
_space_group_IT_number 139
_space_group_name_Hall '-I 4 2'
_cell_length_a 7.510
_cell_length_b 7.510
_cell_length_c 8.306
_cell_angle_alpha 90.00
_cell_angle_beta 90.00
_cell_angle_gamma 90.00
loop_
_atom_site_label
_atom_site_type_symbol
_atom_site_fract_x
_atom_site_fract_y
_atom_site_fract_z
Cs1 Cs 0.000 0.500 0.250
Te1 Te 0.000 0.000 0.179
S1 S 0.000 0.000 0.500
```

Calculated values
E = -29.89 eV for the cell shown
energy relative to the elements, uncorrected = -273 kJ/mol of formula units
ρ = 3921 kg/m3

***

Crystalline Tb12DyHo5 at its relaxed geometry, computed with PBE.

Cell and atoms, written as CIF:
```
data_Tb12DyHo5
_chemical_formula_sum 'Tb24 Dy2 Ho10'
_space_group_name_H-M_alt 'C m m m'
_space_group_IT_number 65
_space_group_name_Hall '-C 2 2'
_cell_length_a 15.009
_cell_length_b 15.038
_cell_length_c 5.009
_cell_angle_alpha 90.00
_cell_angle_beta 90.00
_cell_angle_gamma 90.00
loop_
_atom_site_label
_atom_site_type_symbol
_atom_site_fract_x
_atom_site_fract_y
_atom_site_fract_z
Tb1 Tb 0.166 0.000 0.000
Tb2 Tb 0.166 0.167 0.500
Tb3 Tb 0.166 0.333 0.000
Tb4 Tb 0.166 0.500 0.500
Dy1 Dy 0.000 0.000 0.500
Ho1 Ho 0.000 0.167 0.000
Ho2 Ho 0.000 0.333 0.500
Ho3 Ho 0.000 0.500 0.000
```

Calculated values
E = -165.49 eV for the cell shown
ρ = 8501 kg/m3
ΔE_f = 1.6 kJ/mol of atoms

***

Crystalline BeCuSe2Br at its relaxed geometry, computed with PBE.

Cell and atoms, written as CIF:
```
data_BeCuSe2Br
_chemical_formula_sum 'Be1 Cu1 Se2 Br1'
_space_group_name_H-M_alt 'P 4/m m m'
_space_group_IT_number 123
_space_group_name_Hall '-P 4 2'
_cell_length_a 4.810
_cell_length_b 4.810
_cell_length_c 4.878
_cell_angle_alpha 90.00
_cell_angle_beta 90.00
_cell_angle_gamma 90.00
loop_
_atom_site_label
_atom_site_type_symbol
_atom_site_fract_x
_atom_site_fract_y
_atom_site_fract_z
Be1 Be 0.000 0.000 0.000
Cu1 Cu 0.500 0.500 0.500
Se1 Se 0.000 0.500 0.500
Br1 Br 0.500 0.500 0.000
```

Calculated values
E = -12.70 eV for the cell shown
energy relative to the elements, uncorrected = 363 kJ/mol of formula units
ρ = 4566 kg/m3

***

Crystalline LiDyMnRh at its relaxed geometry, computed with PBE.

Cell and atoms, written as CIF:
```
data_LiDyMnRh
_chemical_formula_sum 'Li4 Dy4 Mn4 Rh4'
_space_group_name_H-M_alt 'F -4 3 m'
_space_group_IT_number 216
_space_group_name_Hall 'F -4 2 3'
_cell_length_a 6.556
_cell_length_b 6.556
_cell_length_c 6.556
_cell_angle_alpha 90.00
_cell_angle_beta 90.00
_cell_angle_gamma 90.00
loop_
_atom_site_label
_atom_site_type_symbol
_atom_site_fract_x
_atom_site_fract_y
_atom_site_fract_z
Li1 Li 0.000 0.000 0.000
Dy1 Dy 0.250 0.250 0.250
Mn1 Mn 0.250 0.250 0.750
Rh1 Rh 0.000 0.000 0.500
```

Calculated values
E = -95.85 eV for the cell shown
ρ = 7716 kg/m3
ΔE_f = -22.3 kJ/mol of atoms

***

Crystalline AcZn2In at its relaxed geometry, computed with PBE.

Cell and atoms, written as CIF:
```
data_AcZn2In
_chemical_formula_sum 'Ac4 Zn8 In4'
_space_group_name_H-M_alt 'C m c m'
_space_group_IT_number 63
_space_group_name_Hall '-C 2c 2'
_cell_length_a 4.942
_cell_length_b 11.316
_cell_length_c 6.971
_cell_angle_alpha 90.00
_cell_angle_beta 90.00
_cell_angle_gamma 90.00
loop_
_atom_site_label
_atom_site_type_symbol
_atom_site_fract_x
_atom_site_fract_y
_atom_site_fract_z
Ac1 Ac 0.000 0.102 0.250
Zn1 Zn 0.000 0.391 0.062
In1 In 0.000 0.199 0.750
```

Calculated values
E = -43.22 eV for the cell shown
ρ = 8053 kg/m3
ΔE_f = -34.0 kJ/mol of atoms

***

Crystalline ScCo4Pd at its relaxed geometry, computed with PBE.

Cell and atoms, written as CIF:
```
data_ScCo4Pd
_chemical_formula_sum 'Sc4 Co16 Pd4'
_space_group_name_H-M_alt 'F -4 3 m'
_space_group_IT_number 216
_space_group_name_Hall 'F -4 2 3'
_cell_length_a 6.815
_cell_length_b 6.815
_cell_length_c 6.815
_cell_angle_alpha 90.00
_cell_angle_beta 90.00
_cell_angle_gamma 90.00
loop_
_atom_site_label
_atom_site_type_symbol
_atom_site_fract_x
_atom_site_fract_y
_atom_site_fract_z
Sc1 Sc 0.000 0.000 0.000
Co1 Co 0.125 0.125 0.375
Pd1 Pd 0.250 0.250 0.750
```

Calculated values
E = -165.21 eV for the cell shown
ρ = 8124 kg/m3
ΔE_f = -21.8 kJ/mol of atoms

***

Crystalline Tm5Ag2Pd2 at its relaxed geometry, computed with PBE.

Cell and atoms, written as CIF:
```
data_Tm5Ag2Pd2
_chemical_formula_sum 'Tm20 Ag8 Pd8'
_space_group_name_H-M_alt 'C m c e'
_space_group_IT_number 64
_space_group_name_Hall '-C 2ac 2'
_cell_length_a 15.334
_cell_length_b 7.389
_cell_length_c 7.624
_cell_angle_alpha 90.00
_cell_angle_beta 90.00
_cell_angle_gamma 90.00
loop_
_atom_site_label
_atom_site_type_symbol
_atom_site_fract_x
_atom_site_fract_y
_atom_site_fract_z
Tm1 Tm 0.000 0.000 0.000
Tm2 Tm 0.131 0.173 0.326
Ag1 Ag 0.210 0.000 0.000
Pd1 Pd 0.000 0.130 0.632
```

Calculated values
E = -173.03 eV for the cell shown
ρ = 9791 kg/m3
ΔE_f = -51.6 kJ/mol of atoms

***

Crystalline CeTiFe4 at its relaxed geometry, computed with PBE.

Cell and atoms, written as CIF:
```
data_CeTiFe4
_chemical_formula_sum 'Ce4 Ti4 Fe16'
_space_group_name_H-M_alt 'F -4 3 m'
_space_group_IT_number 216
_space_group_name_Hall 'F -4 2 3'
_cell_length_a 7.047
_cell_length_b 7.047
_cell_length_c 7.047
_cell_angle_alpha 90.00
_cell_angle_beta 90.00
_cell_angle_gamma 90.00
loop_
_atom_site_label
_atom_site_type_symbol
_atom_site_fract_x
_atom_site_fract_y
_atom_site_fract_z
Ce1 Ce 0.000 0.000 0.000
Ti1 Ti 0.250 0.250 0.750
Fe1 Fe 0.124 0.124 0.376
```

Calculated values
E = -192.45 eV for the cell shown
ρ = 7808 kg/m3
ΔE_f = -7.0 kJ/mol of atoms

***

Crystalline ZrSc3Hg at its relaxed geometry, computed with PBE.

Cell and atoms, written as CIF:
```
data_ZrSc3Hg
_chemical_formula_sum 'Zr1 Sc3 Hg1'
_space_group_name_H-M_alt 'P m -3 m'
_space_group_IT_number 221
_space_group_name_Hall '-P 4 2 3'
_cell_length_a 5.161
_cell_length_b 5.161
_cell_length_c 5.161
_cell_angle_alpha 90.00
_cell_angle_beta 90.00
_cell_angle_gamma 90.00
loop_
_atom_site_label
_atom_site_type_symbol
_atom_site_fract_x
_atom_site_fract_y
_atom_site_fract_z
Zr1 Zr 0.000 0.000 0.000
Sc1 Sc 0.000 0.000 0.500
Hg1 Hg 0.500 0.500 0.500
```

Calculated values
E = -24.43 eV for the cell shown
ρ = 5154 kg/m3
ΔE_f = 65.8 kJ/mol of atoms

***

Crystalline PrGeC at its relaxed geometry, computed with PBE.

Cell and atoms, written as CIF:
```
data_PrGeC
_chemical_formula_sum 'Pr4 Ge4 C4'
_space_group_name_H-M_alt 'C 1 2/m 1'
_space_group_IT_number 12
_space_group_name_Hall '-C 2y'
_cell_length_a 8.144
_cell_length_b 3.993
_cell_length_c 7.881
_cell_angle_alpha 90.00
_cell_angle_beta 109.61
_cell_angle_gamma 90.00
loop_
_atom_site_label
_atom_site_type_symbol
_atom_site_fract_x
_atom_site_fract_y
_atom_site_fract_z
Pr1 Pr 0.084 0.000 0.299
Ge1 Ge 0.160 0.500 0.011
C1 C 0.085 0.500 0.537
```

Calculated values
E = -78.50 eV for the cell shown
ρ = 6206 kg/m3
ΔE_f = -32.3 kJ/mol of atoms